Record 1
Material: Ac8Tl5In
Method: DFT, PBE
State: relaxed

POSCAR file:
```
Ac8Tl5In
1.0
-5.107 5.107 5.093
5.107 -5.107 5.093
5.107 5.107 -5.093
Ac Tl In
8 5 1
direct
0.125 0.376 0.604 Ac
0.126 0.376 0.102 Ac
0.273 0.023 0.898 Ac
0.479 0.875 0.250 Ac
0.624 0.228 0.750 Ac
0.624 0.727 0.750 Ac
0.772 0.521 0.396 Ac
0.977 0.874 0.250 Ac
0.000 0.626 0.876 Tl
0.250 0.750 0.500 Tl
0.374 0.250 0.374 Tl
0.750 0.124 0.124 Tl
0.876 0.000 0.626 Tl
0.500 0.500 0.000 In
```

## Properties
Its space group is I-4 (82). As for the total energy: -3.67 eV/atom. The size of the total moment is 0.0 Bohr magnetons per cell.

Record 2
Material: SrHoIrO6
Method: DFT, PBE
State: relaxed

POSCAR file:
```
SrHoIrO6
1.0
5.572 0.000 0.000
-2.786 4.825 0.000
0.000 0.000 10.402
Sr Ho Ir O
2 2 2 12
direct
0.000 0.000 0.000 Sr
0.000 0.000 0.500 Sr
0.333 0.667 0.250 Ho
0.667 0.333 0.750 Ho
0.333 0.667 0.750 Ir
0.667 0.333 0.250 Ir
0.042 0.388 0.645 O
0.042 0.654 0.855 O
0.346 0.388 0.855 O
0.346 0.958 0.645 O
0.388 0.042 0.145 O
0.388 0.346 0.355 O
0.612 0.654 0.645 O
0.612 0.958 0.855 O
0.654 0.042 0.355 O
0.654 0.612 0.145 O
0.958 0.346 0.145 O
0.958 0.612 0.355 O
```

## Properties
Its space group is P-31c (163). The formation energy without anion corrections is -1916 meV/atom. The size of the total moment is 4.1 Bohr magnetons per cell.

Record 3
Material: Ga2CuNi
Method: DFT, PBE
State: relaxed

POSCAR file:
```
Ga2CuNi
1.0
1.988 1.148 4.305
-1.988 1.148 4.305
0.000 -2.295 4.305
Ga Cu Ni
2 1 1
direct
0.000 0.000 0.000 Ga
0.204 0.204 0.204 Ga
0.783 0.783 0.783 Cu
0.589 0.589 0.589 Ni
```

## Properties
Its space group is R3m (160). As for the total energy: -4.10 eV/atom. The size of the total moment is 0.0 Bohr magnetons per cell.

Record 4
Material: Hf2MnCS
Method: DFT, PBE
State: relaxed

POSCAR file:
```
Hf2MnCS
1.0
4.783 0.000 0.000
0.000 4.783 0.000
0.000 0.000 3.903
Hf Mn C S
2 1 1 1
direct
0.000 0.500 0.000 Hf
0.500 0.000 0.000 Hf
0.000 0.000 0.000 Mn
0.500 0.500 0.500 C
0.000 0.000 0.500 S
```

## Properties
Its space group is P4/mmm (123). The formation energy without anion corrections is 988 meV/atom. The size of the total moment is 0.0 Bohr magnetons per cell.

Record 5
Material: Zn2Os
Method: DFT, PBE
State: relaxed

POSCAR file:
```
Zn2Os
1.0
4.927 -1.406 0.000
4.927 1.406 0.000
-1.751 0.000 6.200
Zn Os
4 2
direct
0.020 0.020 0.303 Zn
0.354 0.354 0.965 Zn
0.646 0.646 0.035 Zn
0.980 0.980 0.697 Zn
0.301 0.301 0.367 Os
0.699 0.699 0.633 Os
```

## Properties
Its space group is C2/m (12). As for the total energy: -4.46 eV/atom. The size of the total moment is 0.0 Bohr magnetons per cell.

Record 6
Material: KAsC2
Method: DFT, PBE
State: relaxed

POSCAR file:
```
KAsC2
1.0
-2.949 2.949 4.186
2.949 -2.949 4.186
2.949 2.949 -4.186
K As C
2 2 4
direct
0.000 0.000 0.000 K
0.750 0.250 0.500 K
0.250 0.750 0.500 As
0.500 0.500 0.000 As
0.271 0.625 0.146 C
0.375 0.521 0.646 C
0.479 0.125 0.854 C
0.875 0.729 0.354 C
```

## Properties
Its space group is I-42d (122). As for the total energy: -4.58 eV/atom. The size of the total moment is 0.0 Bohr magnetons per cell.

Record 7
Material: La2PmMn2N6
Method: DFT, PBE
State: relaxed

POSCAR file:
```
La2PmMn2N6
1.0
2.812 1.623 6.173
-2.812 1.623 6.173
0.000 -3.247 6.173
La Pm Mn N
2 1 2 6
direct
0.210 0.210 0.210 La
0.790 0.790 0.790 La
0.000 0.000 0.000 Pm
0.406 0.406 0.406 Mn
0.594 0.594 0.594 Mn
0.238 0.734 0.734 N
0.266 0.266 0.762 N
0.266 0.762 0.266 N
0.734 0.238 0.734 N
0.734 0.734 0.238 N
0.762 0.266 0.266 N
```

## Properties
Its space group is R-3m (166). The formation energy without anion corrections is -750 meV/atom. The size of the total moment is 0.9 Bohr magnetons per cell.

Record 8
Material: La4SbPS2
Method: DFT, PBE
State: relaxed

POSCAR file:
```
La4SbPS2
1.0
7.415 0.000 0.000
0.000 4.318 0.000
-2.525 0.000 7.091
La Sb P S
4 1 1 2
direct
0.237 0.000 0.232 La
0.248 0.500 0.762 La
0.752 0.500 0.238 La
0.763 0.000 0.768 La
0.500 0.500 0.500 Sb
0.500 0.000 0.000 P
0.000 0.000 0.500 S
0.000 0.500 0.000 S
```

## Properties
Its space group is P2/m (10). The formation energy without anion corrections is -1779 meV/atom. The size of the total moment is 0.0 Bohr magnetons per cell.

Record 9
Material: LaTb4Pm10
Method: DFT, PBE
State: relaxed

POSCAR file:
```
LaTb4Pm10
1.0
-6.393 6.393 3.429
6.393 -6.393 3.429
6.393 6.393 -3.429
La Tb Pm
1 4 10
direct
0.000 0.000 0.000 La
0.323 0.433 0.756 Tb
0.433 0.677 0.110 Tb
0.567 0.323 0.890 Tb
0.677 0.567 0.244 Tb
0.044 0.624 0.162 Pm
0.119 0.956 0.580 Pm
0.250 0.750 0.500 Pm
0.376 0.539 0.420 Pm
0.461 0.881 0.838 Pm
0.539 0.119 0.162 Pm
0.624 0.461 0.580 Pm
0.750 0.250 0.500 Pm
0.881 0.044 0.420 Pm
0.956 0.376 0.838 Pm
```

## Properties
Its space group is I4/m (87). As for the total energy: -4.22 eV/atom. The size of the total moment is 0.0 Bohr magnetons per cell.

Record 10
Material: CoAs2Se
Method: DFT, PBE
State: relaxed

POSCAR file:
```
CoAs2Se
1.0
3.371 -1.757 0.000
3.371 1.757 0.000
-1.322 0.000 6.269
Co As Se
1 2 1
direct
0.000 0.000 0.000 Co
0.435 0.435 0.482 As
0.761 0.761 0.226 As
0.301 0.301 0.832 Se
```

## Properties
Its space group is Cm (8). The formation energy without anion corrections is 79 meV/atom. The size of the total moment is 0.0 Bohr magnetons per cell.

Record 11
Material: RbPuAu2
Method: DFT, PBE
State: relaxed

POSCAR file:
```
RbPuAu2
1.0
3.792 0.000 0.000
0.000 3.792 0.000
0.000 0.000 8.280
Rb Pu Au
1 1 2
direct
0.000 0.000 0.000 Rb
0.000 0.000 0.500 Pu
0.500 0.500 0.310 Au
0.500 0.500 0.690 Au
```

## Properties
Its space group is P4/mmm (123). As for the total energy: -5.77 eV/atom. The size of the total moment is 6.0 Bohr magnetons per cell.

Record 12
Material: CaTb2Ga6
Method: DFT, PBE
State: relaxed

POSCAR file:
```
CaTb2Ga6
1.0
-2.203 3.563 6.583
2.203 -3.563 6.583
2.203 3.563 -6.583
Ca Tb Ga
1 2 6
direct
0.000 0.000 0.000 Ca
0.375 0.875 0.500 Tb
0.625 0.125 0.500 Tb
0.008 0.315 0.694 Ga
0.316 0.500 0.816 Ga
0.379 0.685 0.694 Ga
0.621 0.315 0.306 Ga
0.684 0.500 0.184 Ga
0.992 0.685 0.306 Ga
```

## Properties
Its space group is Immm (71). The size of the total moment is 0.0 Bohr magnetons per cell. As for the energy above the most stable polymorph in this dataset: 0.111 eV per atom.

Record 13
Material: Ti2InHgF
Method: DFT, PBE
State: relaxed

POSCAR file:
```
Ti2InHgF
1.0
5.308 0.000 0.000
0.000 5.308 0.000
0.000 0.000 4.357
Ti In Hg F
2 1 1 1
direct
0.000 0.500 0.000 Ti
0.500 0.000 0.000 Ti
0.000 0.000 0.000 In
0.500 0.500 0.500 Hg
0.000 0.000 0.500 F
```

## Properties
Its space group is P4/mmm (123). The formation energy without anion corrections is 416 meV/atom. The size of the total moment is 1.9 Bohr magnetons per cell.

Record 14
Material: Pm6Pr12Th
Method: DFT, PBE
State: relaxed

POSCAR file:
```
Pm6Pr12Th
1.0
6.780 3.914 4.365
-6.780 3.914 4.365
0.000 -7.829 4.365
Pm Pr Th
6 12 1
direct
0.097 0.360 0.360 Pm
0.360 0.097 0.360 Pm
0.360 0.360 0.097 Pm
0.640 0.640 0.903 Pm
0.640 0.903 0.640 Pm
0.903 0.640 0.640 Pm
0.084 0.084 0.671 Pr
0.084 0.671 0.084 Pr
0.238 0.500 0.762 Pr
0.238 0.762 0.500 Pr
0.329 0.916 0.916 Pr
0.500 0.238 0.762 Pr
0.500 0.762 0.238 Pr
0.671 0.084 0.084 Pr
0.762 0.238 0.500 Pr
0.762 0.500 0.238 Pr
0.916 0.329 0.916 Pr
0.916 0.916 0.329 Pr
0.500 0.500 0.500 Th
```

## Properties
Its space group is R-3m (166). As for the total energy: -4.79 eV/atom. The size of the total moment is 0.0 Bohr magnetons per cell.

Record 15
Material: La6Pm2PrSm
Method: DFT, PBE
State: relaxed

POSCAR file:
```
La6Pm2PrSm
1.0
5.776 -3.546 0.000
5.776 3.546 0.000
-2.716 0.000 8.864
La Pm Pr Sm
6 2 1 1
direct
0.073 0.540 0.200 La
0.128 0.128 0.422 La
0.460 0.927 0.800 La
0.540 0.073 0.200 La
0.872 0.872 0.578 La
0.927 0.460 0.800 La
0.423 0.423 0.829 Pm
0.577 0.577 0.171 Pm
0.000 0.000 0.000 Pr
0.500 0.500 0.500 Sm
```

## Properties
Its space group is C2/m (12). As for the total energy: -4.68 eV/atom. The size of the total moment is 0.0 Bohr magnetons per cell.

Record 16
Material: Dy2FeHg
Method: DFT, PBE
State: relaxed

POSCAR file:
```
Dy2FeHg
1.0
1.843 1.064 9.640
-1.843 1.064 9.640
0.000 -2.128 9.640
Dy Fe Hg
2 1 1
direct
0.112 0.112 0.112 Dy
0.888 0.888 0.888 Dy
0.500 0.500 0.500 Fe
0.000 0.000 0.000 Hg
```

## Properties
Its space group is R-3m (166). The size of the total moment is 0.7 Bohr magnetons per cell. As for the energy above the most stable polymorph in this dataset: 0.380 eV per atom.

Record 17
Material: CdInSbH2
Method: DFT, PBE
State: relaxed

POSCAR file:
```
CdInSbH2
1.0
4.113 0.000 0.000
0.000 4.113 0.000
0.000 0.000 6.136
Cd In Sb H
1 1 1 2
direct
0.000 0.000 0.000 Cd
0.500 0.500 0.000 In
0.500 0.500 0.500 Sb
0.000 0.500 0.500 H
0.500 0.000 0.500 H
```

## Properties
Its space group is P4/mmm (123). As for the total energy: -2.58 eV/atom. The size of the total moment is 0.0 Bohr magnetons per cell.

Record 18
Material: BaNiTe2
Method: DFT, PBE
State: relaxed

POSCAR file:
```
BaNiTe2
1.0
0.000 3.872 3.872
3.872 0.000 3.872
3.872 3.872 0.000
Ba Ni Te
1 1 2
direct
0.000 0.000 0.000 Ba
0.250 0.250 0.250 Ni
0.500 0.500 0.500 Te
0.750 0.750 0.750 Te
```

## Properties
Its space group is F-43m (216). The formation energy without anion corrections is -7 meV/atom. The size of the total moment is 0.7 Bohr magnetons per cell.

Record 19
Material: CaPr3Tm
Method: DFT, PBE
State: relaxed

POSCAR file:
```
CaPr3Tm
1.0
2.791 -5.711 0.000
2.791 5.711 0.000
0.000 0.000 11.464
Ca Pr Tm
2 6 2
direct
0.156 0.844 0.000 Ca
0.844 0.156 0.000 Ca
0.152 0.848 0.310 Pr
0.152 0.848 0.690 Pr
0.500 0.500 0.192 Pr
0.500 0.500 0.808 Pr
0.848 0.152 0.310 Pr
0.848 0.152 0.690 Pr
0.361 0.639 0.500 Tm
0.639 0.361 0.500 Tm
```

## Properties
Its space group is Cmmm (65). The size of the total moment is 0.0 Bohr magnetons per cell. As for the energy above the most stable polymorph in this dataset: 0.000 eV per atom.

Record 20
Material: TiIn2Rh
Method: DFT, PBE
State: relaxed

POSCAR file:
```
TiIn2Rh
1.0
0.000 3.306 3.306
3.306 0.000 3.306
3.306 3.306 0.000
Ti In Rh
1 2 1
direct
0.000 0.000 0.000 Ti
0.250 0.250 0.250 In
0.750 0.750 0.750 In
0.500 0.500 0.500 Rh
```

## Properties
Its space group is Fm-3m (225). As for the total energy: -5.35 eV/atom. The size of the total moment is 0.0 Bohr magnetons per cell.